This record from the Alexandria database describes a geometry-optimized Tb8Te4As3Pt structure. The functional is GGA-PBE.

- total magnetic moment (μB per cell) = 0.0
- space group = R-3m, No. 166
- D(E_F) (states/eV/f.u.) = 10.45
- energy relative to the elements, uncorrected (eV/atom) = -1.43
- VASP energy (eV/atom) = -5.780

Cell: 8.4689 8.6037 8.4687 Å, 119.48 120.00 90.00°
Closest atoms and distances in Å follow each position.
Sites, in units of the cell vectors:
Tb: 0.2550 0.2821 0.0185  1 Pt 2.86, 2 As 2.91, 3 Te 3.14-3.19
Tb: 0.7635 0.2821 0.5271  1 Pt 2.86, 2 As 2.91, 3 Te 3.14-3.19
Tb: 0.2365 0.7179 0.4729  1 Pt 2.86, 2 As 2.91, 3 Te 3.14-3.19
Tb: 0.7450 0.7179 0.9815  1 Pt 2.86, 2 As 2.91, 3 Te 3.14-3.19
Tb: 0.2365 0.7179 0.9815  1 Pt 2.86, 2 As 2.91, 3 Te 3.14-3.19
Tb: 0.7635 0.2821 0.0185  1 Pt 2.86, 2 As 2.91, 3 Te 3.14-3.19
Tb: 0.7397 0.7192 0.4795  3 As 2.90, 3 Te 3.15
Tb: 0.2603 0.2808 0.5205  3 As 2.90, 3 Te 3.15
Pt: 0.0000 0.5000 0.0000  6 Tb 2.86
Te: 0.5000 0.0000 0.0000  6 Tb 3.19
Te: 0.5000 0.0000 0.5000  6 Tb 3.14-3.15
Te: 0.0000 0.0000 0.0000  6 Tb 3.14-3.15
Te: 0.0000 0.0000 0.5000  6 Tb 3.14-3.15
As: 0.5000 0.5000 0.5000  6 Tb 2.90-2.91
As: 0.0000 0.5000 0.5000  6 Tb 2.90-2.91
As: 0.5000 0.5000 0.0000  6 Tb 2.90-2.91